VASP calculation (PBE-GGA) on an optimized crystal structure of In2FeCuI.

Values from the calculation:
* formation energy from raw total energies: 0.6165 eV per atom
* D(E_F): 2.47 states/eV/f.u.
* raw total energy: -0.24259 Ry per atom
* total magnetic moment: 0.3644 μB/atom
* SG: P4/mmm, No. 123

Lattice parameters (Å, degrees): 5.1503 5.1503 5.0231 90.00 90.00 90.00
Positions (direct):
In  0.0000  0.5000  0.0000
In  0.5000  0.0000  0.0000
Fe  0.0000  0.0000  0.0000
Cu  0.5000  0.5000  0.5000
I  0.0000  0.0000  0.5000